[1]
{"formula": "ThNi6Ge4", "functional": "GGA-PBE", "state": "optimized geometry", "lattice_angstrom": [[6.826, 0.000, 0.000], [-3.413, 5.912, 0.000], [0.000, 0.000, 3.889]], "species": ["Th", "Ni", "Ni", "Ni", "Ni", "Ni", "Ni", "Ge", "Ge", "Ge", "Ge"], "frac_coords": [[0.000, 0.000, 0.000], [0.205, 0.411, 0.500], [0.205, 0.795, 0.500], [0.537, 0.074, 0.000], [0.537, 0.463, 0.000], [0.589, 0.795, 0.500], [0.926, 0.463, 0.000], [0.333, 0.667, 0.000], [0.394, 0.197, 0.500], [0.803, 0.197, 0.500], [0.803, 0.606, 0.500]], "dos_at_fermi_per_ev_cell": 8.3, "sg": "No. 187", "delta_e_f_ev_per_fu": -5.1, "total_energy_ev_per_cell": -65.724}

[2]
{"formula": "ThNiGe", "functional": "GGA-PBE", "state": "optimized geometry", "lattice_angstrom": [[0.000, 3.179, 3.179], [3.179, 0.000, 3.179], [3.179, 3.179, 0.000]], "species": ["Th", "Ni", "Ge"], "frac_coords": [[0.000, 0.000, 0.000], [0.750, 0.750, 0.750], [0.500, 0.500, 0.500]], "dos_at_fermi_per_ev_cell": 0.5, "sg": "No. 216", "delta_e_f_ev_per_fu": -2.1, "total_energy_ev_per_cell": -19.954}

[3]
{"formula": "ThNi12Ge4", "functional": "GGA-PBE", "state": "optimized geometry", "lattice_angstrom": [[-3.976, 3.976, 3.976], [3.976, -3.976, 3.976], [3.976, 3.976, -3.976]], "species": ["Th", "Ni", "Ni", "Ni", "Ni", "Ni", "Ni", "Ni", "Ni", "Ni", "Ni", "Ni", "Ni", "Ge", "Ge", "Ge", "Ge"], "frac_coords": [[0.000, 0.000, 0.000], [0.153, 0.354, 0.507], [0.153, 0.646, 0.800], [0.200, 0.847, 0.354], [0.354, 0.200, 0.847], [0.354, 0.507, 0.153], [0.493, 0.847, 0.646], [0.507, 0.153, 0.354], [0.646, 0.493, 0.847], [0.646, 0.800, 0.153], [0.800, 0.153, 0.646], [0.847, 0.354, 0.200], [0.847, 0.646, 0.493], [0.000, 0.000, 0.500], [0.000, 0.500, 0.000], [0.500, 0.000, 0.000], [0.500, 0.500, 0.500]], "dos_at_fermi_per_ev_cell": 7.3, "sg": "No. 204", "delta_e_f_ev_per_fu": 1.8, "total_energy_ev_per_cell": -93.513}

[4]
{"formula": "Th2TiNi3Ge4", "functional": "GGA-PBE", "state": "optimized geometry", "lattice_angstrom": [[4.176, 0.000, 0.000], [0.000, 4.176, 0.000], [0.000, 0.000, 10.176]], "species": ["Th", "Th", "Ti", "Ni", "Ni", "Ni", "Ge", "Ge", "Ge", "Ge"], "frac_coords": [[0.000, 0.500, 0.237], [0.500, 0.000, 0.763], [0.000, 0.000, 0.500], [0.000, 0.500, 0.883], [0.500, 0.000, 0.117], [0.500, 0.500, 0.500], [0.000, 0.000, 0.000], [0.000, 0.500, 0.646], [0.500, 0.000, 0.354], [0.500, 0.500, 0.000]], "dos_at_fermi_per_ev_cell": 5.6, "sg": "No. 115", "delta_e_f_ev_per_fu": -7.0, "total_energy_ev_per_cell": -65.500}

[5]
{"formula": "Th2ZnNi4Ge3", "functional": "GGA-PBE", "state": "optimized geometry", "lattice_angstrom": [[4.173, 0.000, 0.000], [0.000, 4.173, 0.000], [0.000, 0.000, 9.689]], "species": ["Th", "Th", "Zn", "Ni", "Ni", "Ni", "Ni", "Ge", "Ge", "Ge"], "frac_coords": [[0.000, 0.500, 0.243], [0.500, 0.000, 0.757], [0.000, 0.000, 0.500], [0.000, 0.000, 0.000], [0.000, 0.500, 0.629], [0.500, 0.000, 0.371], [0.500, 0.500, 0.000], [0.000, 0.500, 0.872], [0.500, 0.000, 0.128], [0.500, 0.500, 0.500]], "dos_at_fermi_per_ev_cell": 7.3, "sg": "No. 115", "delta_e_f_ev_per_fu": -6.6, "total_energy_ev_per_cell": -59.736}

[6]
{"formula": "Th2ZnNi12Ge3", "functional": "GGA-PBE", "state": "optimized geometry", "lattice_angstrom": [[4.274, 2.468, 4.077], [-4.274, 2.468, 4.077], [0.000, -4.936, 4.077]], "species": ["Th", "Th", "Zn", "Ni", "Ni", "Ni", "Ni", "Ni", "Ni", "Ni", "Ni", "Ni", "Ni", "Ni", "Ni", "Ge", "Ge", "Ge"], "frac_coords": [[0.158, 0.158, 0.158], [0.842, 0.842, 0.842], [0.500, 0.500, 0.500], [0.110, 0.110, 0.606], [0.110, 0.606, 0.110], [0.208, 0.690, 0.690], [0.310, 0.310, 0.792], [0.310, 0.792, 0.310], [0.394, 0.890, 0.890], [0.606, 0.110, 0.110], [0.690, 0.208, 0.690], [0.690, 0.690, 0.208], [0.792, 0.310, 0.310], [0.890, 0.394, 0.890], [0.890, 0.890, 0.394], [0.000, 0.500, 0.500], [0.500, 0.000, 0.500], [0.500, 0.500, 0.000]], "dos_at_fermi_per_ev_cell": 13.9, "sg": "No. 166", "delta_e_f_ev_per_fu": -2.8, "total_energy_ev_per_cell": -102.103}

[7]
{"formula": "ThZn2Ni4Ge", "functional": "GGA-PBE", "state": "optimized geometry", "lattice_angstrom": [[2.043, 1.180, 8.307], [-2.043, 1.180, 8.307], [0.000, -2.359, 8.307]], "species": ["Th", "Zn", "Zn", "Ni", "Ni", "Ni", "Ni", "Ge"], "frac_coords": [[0.000, 0.000, 0.000], [0.240, 0.240, 0.240], [0.760, 0.760, 0.760], [0.134, 0.134, 0.134], [0.404, 0.404, 0.404], [0.596, 0.596, 0.596], [0.866, 0.866, 0.866], [0.500, 0.500, 0.500]], "dos_at_fermi_per_ev_cell": 6.2, "sg": "No. 166", "delta_e_f_ev_per_fu": -2.5, "total_energy_ev_per_cell": -40.225}

[8]
{"formula": "Th2ZnNi3Ge4", "functional": "GGA-PBE", "state": "optimized geometry", "lattice_angstrom": [[4.190, 0.000, 0.000], [0.000, 4.190, 0.000], [0.000, 0.000, 9.906]], "species": ["Th", "Th", "Zn", "Ni", "Ni", "Ni", "Ge", "Ge", "Ge", "Ge"], "frac_coords": [[0.000, 0.500, 0.244], [0.500, 0.000, 0.756], [0.000, 0.000, 0.500], [0.000, 0.500, 0.879], [0.500, 0.000, 0.121], [0.500, 0.500, 0.500], [0.000, 0.000, 0.000], [0.000, 0.500, 0.639], [0.500, 0.000, 0.361], [0.500, 0.500, 0.000]], "dos_at_fermi_per_ev_cell": 4.0, "sg": "No. 115", "delta_e_f_ev_per_fu": -6.7, "total_energy_ev_per_cell": -58.608}

> Number 7 is which compound?

ThZn2Ni4Ge